Entry 1:
# NdGa2PdAu

An optimized crystal structure of NdGa2PdAu (PBE, OQMD via LeMat-Bulk).

Lattice parameters (Å, degrees): 4.4367 4.4367 10.2497 90.00 90.00 90.00
Closest atoms and distances in Å follow each position.
Fractional coordinates of all 10 atoms:
Au (0.0000, 0.0000, 0.0000)  4 Ga 2.64
Au (0.5000, 0.5000, 0.0000)  4 Ga 2.64
Ga (0.5000, 0.0000, 0.1394)  1 Pd 2.45, 4 Au 2.64
Ga (0.0000, 0.0000, 0.5000)  4 Pd 2.55
Ga (0.5000, 0.5000, 0.5000)  4 Pd 2.55
Ga (0.0000, 0.5000, 0.8606)  1 Pd 2.45, 4 Au 2.64
Nd (0.0000, 0.5000, 0.2548)  8 Ga 3.35, 4 Pd 3.38, 4 Au 3.43
Nd (0.5000, 0.0000, 0.7452)  8 Ga 3.35, 4 Pd 3.38, 4 Au 3.43
Pd (0.5000, 0.0000, 0.3779)  5 Ga 2.45-2.55
Pd (0.0000, 0.5000, 0.6221)  5 Ga 2.45-2.55

Calculated values
**Energy above the most stable polymorph in this dataset**: 0.01 eV per formula unit
**Space group**: P4/nmm (129)

Entry 2:
# Pr2NdGa3PtAu2

An optimized crystal structure of Pr2NdGa3PtAu2 (PBE, OQMD via LeMat-Bulk).

Lattice parameters (Å, degrees): 4.0448 7.5948 7.5948 120.00 90.00 90.00
Closest atoms and distances in Å follow each position.
Fractional coordinates of all 9 atoms:
Au (0.5000, 0.6660, 0.3351)  3 Ga 2.94-2.98, 2 Nd 3.06, 4 Pr 3.08
Au (0.5000, 0.3351, 0.6660)  3 Ga 2.94-2.98, 2 Nd 3.06, 4 Pr 3.08
Ga (0.5000, 0.2397, 0.2397)  2 Pt 2.73, 2 Au 2.94
Ga (0.5000, 0.9993, 0.7605)  2 Pt 2.71, 2 Au 2.94-2.98
Ga (0.5000, 0.7605, 0.9993)  2 Pt 2.71, 2 Au 2.94-2.98
Nd (0.0000, 0.5962, 0.5962)  1 Pt 3.05, 4 Au 3.06, 6 Ga 3.35-3.38
Pr (0.0000, 0.4046, 0.0000)  4 Au 3.08, 1 Pt 3.08, 6 Ga 3.35-3.38
Pr (0.0000, 0.0000, 0.4046)  4 Au 3.08, 1 Pt 3.08, 6 Ga 3.35-3.38
Pt (0.0000, 0.9985, 0.9985)  6 Ga 2.71-2.73

Calculated values
**Space group**: Amm2 (38)

Entry 3:
# PrNd2Ga3PtAu2

An optimized crystal structure of PrNd2Ga3PtAu2 (PBE, OQMD via LeMat-Bulk).

Lattice parameters (Å, degrees): 4.0240 7.5981 7.5981 120.02 90.00 90.00
Closest atoms and distances in Å follow each position.
Fractional coordinates of all 9 atoms:
Au (0.5000, 0.6684, 0.3327)  3 Ga 2.93-2.96, 4 Nd 3.06, 2 Pr 3.08
Au (0.5000, 0.3327, 0.6684)  3 Ga 2.93-2.96, 4 Nd 3.06, 2 Pr 3.08
Ga (0.5000, 0.9993, 0.2407)  2 Pt 2.72, 2 Au 2.93-2.96
Ga (0.5000, 0.7596, 0.7596)  2 Pt 2.71, 2 Au 2.96
Ga (0.5000, 0.2407, 0.9993)  2 Pt 2.72, 2 Au 2.93-2.96
Nd (0.0000, 0.5970, 0.0000)  1 Pt 3.06, 4 Au 3.06, 6 Ga 3.34-3.37
Nd (0.0000, 0.0000, 0.5970)  1 Pt 3.06, 4 Au 3.06, 6 Ga 3.34-3.37
Pr (0.0000, 0.4038, 0.4038)  4 Au 3.08, 1 Pt 3.08, 6 Ga 3.35-3.37
Pt (0.0000, 0.9985, 0.9985)  6 Ga 2.71-2.72

Calculated values
**Space group**: Amm2 (38)

Entry 4:
# NdGa2PtAu

An optimized crystal structure of NdGa2PtAu (PBE, OQMD via LeMat-Bulk).

Lattice parameters (Å, degrees): 4.3672 4.3672 10.4938 90.00 90.00 90.00
Closest atoms and distances in Å follow each position.
Fractional coordinates of all 10 atoms:
Au (0.0000, 0.0000, 0.0000)  4 Ga 2.64
Au (0.5000, 0.5000, 0.0000)  4 Ga 2.64
Ga (0.5000, 0.0000, 0.1418)  1 Pt 2.44, 4 Au 2.64
Ga (0.0000, 0.0000, 0.5000)  4 Pt 2.55
Ga (0.5000, 0.5000, 0.5000)  4 Pt 2.55
Ga (0.0000, 0.5000, 0.8582)  1 Pt 2.44, 4 Au 2.64
Nd (0.0000, 0.5000, 0.2601)  4 Pt 3.31, 8 Ga 3.33, 4 Au 3.50
Nd (0.5000, 0.0000, 0.7399)  4 Pt 3.31, 8 Ga 3.33, 4 Au 3.50
Pt (0.5000, 0.0000, 0.3745)  5 Ga 2.44-2.55
Pt (0.0000, 0.5000, 0.6255)  5 Ga 2.44-2.55

Calculated values
**Energy above the most stable polymorph in this dataset**: 0.00 eV per formula unit
**Space group**: P4/nmm (129)

Entry 5:
# NdGa2PtAu

An optimized crystal structure of NdGa2PtAu (PBE, OQMD via LeMat-Bulk).

Lattice parameters (Å, degrees): 4.3085 4.3085 10.7675 90.00 90.00 90.00
Closest atoms and distances in Å follow each position.
Fractional coordinates of all 10 atoms:
Au (0.0000, 0.5000, 0.3588)  5 Ga 2.53-2.64
Au (0.5000, 0.0000, 0.6412)  5 Ga 2.53-2.64
Ga (0.0000, 0.5000, 0.1242)  1 Au 2.53, 4 Pt 2.54
Ga (0.0000, 0.0000, 0.5000)  4 Au 2.64
Ga (0.5000, 0.5000, 0.5000)  4 Au 2.64
Ga (0.5000, 0.0000, 0.8758)  1 Au 2.53, 4 Pt 2.54
Nd (0.5000, 0.0000, 0.2453)  4 Au 3.28, 8 Ga 3.31-3.49, 4 Pt 3.41
Nd (0.0000, 0.5000, 0.7547)  4 Au 3.28, 8 Ga 3.31-3.49, 4 Pt 3.41
Pt (0.0000, 0.0000, 0.0000)  4 Ga 2.54
Pt (0.5000, 0.5000, 0.0000)  4 Ga 2.54

Calculated values
**Energy above the most stable polymorph in this dataset**: 0.22 eV per formula unit
**Space group**: P4/nmm (129)

Entry 6:
# Tb2NdGa3PtAu2

An optimized crystal structure of Tb2NdGa3PtAu2 (PBE, OQMD via LeMat-Bulk).

Lattice parameters (Å, degrees): 3.9269 7.5133 7.5133 120.18 90.00 90.00
Closest atoms and distances in Å follow each position.
Fractional coordinates of all 9 atoms:
Au (0.5000, 0.6694, 0.3270)  3 Ga 2.83-2.93, 4 Tb 2.99, 2 Nd 3.06
Au (0.5000, 0.3270, 0.6694)  3 Ga 2.83-2.93, 4 Tb 2.99, 2 Nd 3.06
Ga (0.5000, 0.7554, 0.0014)  2 Pt 2.71, 2 Au 2.83-2.92
Ga (0.5000, 0.2453, 0.2453)  2 Pt 2.66, 2 Au 2.93
Ga (0.5000, 0.0014, 0.7554)  2 Pt 2.71, 2 Au 2.83-2.92
Nd (0.0000, 0.5934, 0.5934)  4 Au 3.06, 1 Pt 3.09, 6 Ga 3.26-3.31
Pt (0.0000, 0.0059, 0.0059)  6 Ga 2.66-2.71
Tb (0.0000, 0.9997, 0.4025)  4 Au 2.99, 1 Pt 3.00, 6 Ga 3.28-3.29
Tb (0.0000, 0.4025, 0.9997)  4 Au 2.99, 1 Pt 3.00, 6 Ga 3.28-3.29

Calculated values
**Space group**: Amm2 (38)

Entry 7:
# NdScGa2Au2

An optimized crystal structure of NdScGa2Au2 (PBE, OQMD via LeMat-Bulk).

Lattice parameters (Å, degrees): 4.5017 4.5017 7.1022 90.00 90.00 120.00
Closest atoms and distances in Å follow each position.
Fractional coordinates of all 6 atoms:
Au (0.6667, 0.3333, 0.2739)  3 Ga 2.61
Au (0.6667, 0.3333, 0.7261)  3 Ga 2.61
Ga (0.3333, 0.6667, 0.3031)  3 Au 2.61, 1 Ga 2.80
Ga (0.3333, 0.6667, 0.6969)  3 Au 2.61, 1 Ga 2.80
Nd (0.0000, 0.0000, 0.0000)  6 Au 3.25, 6 Ga 3.37, 2 Sc 3.55
Sc (0.0000, 0.0000, 0.5000)  6 Ga 2.95, 6 Au 3.05-3.06

Calculated values
**Space group**: P-6m2 (187)

Entry 8:
# NdGaSnAu2

An optimized crystal structure of NdGaSnAu2 (PBE, OQMD via LeMat-Bulk).

Lattice parameters (Å, degrees): 4.5501 4.5501 10.9157 90.00 90.00 90.00
Closest atoms and distances in Å follow each position.
Fractional coordinates of all 10 atoms:
Au (0.0000, 0.0000, 0.0000)  4 Sn 2.76
Au (0.5000, 0.5000, 0.0000)  4 Sn 2.76
Au (0.5000, 0.0000, 0.3863)  4 Ga 2.59, 1 Sn 2.65
Au (0.0000, 0.5000, 0.6137)  4 Ga 2.59, 1 Sn 2.65
Ga (0.0000, 0.0000, 0.5000)  4 Au 2.59
Ga (0.5000, 0.5000, 0.5000)  4 Au 2.59
Nd (0.0000, 0.5000, 0.2593)  4 Sn 3.46, 4 Ga 3.48, 9 Au 3.50-3.87
Nd (0.5000, 0.0000, 0.7407)  4 Sn 3.46, 4 Ga 3.48, 9 Au 3.50-3.87
Sn (0.5000, 0.0000, 0.1434)  5 Au 2.65-2.76
Sn (0.0000, 0.5000, 0.8566)  5 Au 2.65-2.76

Calculated values
**Space group**: P4/nmm (129)

Entry 9:
# Nd2YZn3Ga2Au

An optimized crystal structure of Nd2YZn3Ga2Au (PBE, OQMD via LeMat-Bulk).

Lattice parameters (Å, degrees): 4.3379 7.1844 7.1844 119.99 90.00 90.00
Closest atoms and distances in Å follow each position.
Fractional coordinates of all 9 atoms:
Au (0.0000, 0.9934, 0.9934)  6 Zn 2.77-2.83, 1 Y 2.95, 2 Nd 3.02
Ga (0.5000, 0.6654, 0.3402)  3 Zn 2.74-2.85, 2 Y 3.02
Ga (0.5000, 0.3402, 0.6654)  3 Zn 2.74-2.85, 2 Y 3.02
Nd (0.0000, 0.4175, 0.0017)  1 Au 3.02, 4 Ga 3.08, 2 Zn 3.27
Nd (0.0000, 0.0017, 0.4175)  1 Au 3.02, 4 Ga 3.08, 2 Zn 3.27
Y (0.0000, 0.5832, 0.5832)  1 Au 2.95, 4 Ga 3.02, 2 Zn 3.25
Zn (0.5000, 0.2455, 0.2455)  2 Ga 2.74, 2 Au 2.83, 2 Zn 3.05
Zn (0.5000, 0.9970, 0.7560)  2 Ga 2.74-2.85, 2 Au 2.77, 2 Zn 3.00-3.05
Zn (0.5000, 0.7560, 0.9970)  2 Ga 2.74-2.85, 2 Au 2.77, 2 Zn 3.00-3.05

Calculated values
**Space group**: Amm2 (38)

Entry 10:
# NdZrGa2Au2

An optimized crystal structure of NdZrGa2Au2 (PBE, OQMD via LeMat-Bulk).

Lattice parameters (Å, degrees): 4.5192 4.5192 7.0432 90.00 90.00 120.00
Closest atoms and distances in Å follow each position.
Fractional coordinates of all 6 atoms:
Au (0.6667, 0.3333, 0.2745)  3 Ga 2.61
Au (0.6667, 0.3333, 0.7255)  3 Ga 2.61
Ga (0.3333, 0.6667, 0.2976)  3 Au 2.61, 1 Ga 2.85
Ga (0.3333, 0.6667, 0.7024)  3 Au 2.61, 1 Ga 2.85
Nd (0.0000, 0.0000, 0.0000)  6 Au 3.25, 6 Ga 3.35, 2 Zr 3.52
Zr (0.0000, 0.0000, 0.5000)  6 Ga 2.97, 6 Au 3.05

Calculated values
**Energy above the most stable polymorph in this dataset**: 0.00 eV per formula unit
**Space group**: P-6m2 (187)

Entry 11:
# NdZrGa2Au2

An optimized crystal structure of NdZrGa2Au2 (PBE, OQMD via LeMat-Bulk).

Lattice parameters (Å, degrees): 4.4639 4.4639 7.2850 90.00 90.00 120.00
Closest atoms and distances in Å follow each position.
Fractional coordinates of all 6 atoms:
Au (0.6667, 0.3333, 0.3005)  3 Ga 2.61, 1 Au 2.91
Au (0.6667, 0.3333, 0.6995)  3 Ga 2.61, 1 Au 2.91
Ga (0.3333, 0.6667, 0.2481)  3 Au 2.61
Ga (0.3333, 0.6667, 0.7519)  3 Au 2.61
Nd (0.0000, 0.0000, 0.0000)  6 Ga 3.15, 6 Au 3.38
Zr (0.0000, 0.0000, 0.5000)  6 Au 2.96, 6 Ga 3.16

Calculated values
**Energy above the most stable polymorph in this dataset**: 0.11 eV per formula unit
**Space group**: P-6m2 (187)

Entry 12:
# GaNiPdAu

An optimized crystal structure of GaNiPdAu (PBE, OQMD via LeMat-Bulk).

Lattice parameters (Å, degrees): 4.3732 4.3732 4.3732 60.00 60.00 60.00
Closest atoms and distances in Å follow each position.
Fractional coordinates of all 4 atoms:
Au (0.5000, 0.5000, 0.5000)  4 Pd 2.68, 4 Ni 2.68
Ga (0.0000, 0.0000, 0.0000)  4 Pd 2.68, 4 Ni 2.68
Ni (0.7500, 0.7500, 0.7500)  4 Au 2.68, 4 Ga 2.68
Pd (0.2500, 0.2500, 0.2500)  4 Au 2.68, 4 Ga 2.68

Calculated values
**Space group**: F-43m (216)

Ordered energy results: -4.59, -4.82, -4.82, -4.86, -4.81, -4.84, -4.73, -4.27, -3.81, -5.01, -4.99, -4.50; unit eV per atom.